The following is a DFT calculation (SCAN) of a crystal of Mg2Cd3 relaxed with PBEsol.

* energy relative to the lowest polymorph listed for this composition: 27 meV/atom
* D(E_F): 1.6 states/eV per cell
* E_form: -0.05 eV per atom

abc: 4.7625 4.7625 5.8176
angles: 90.00 90.00 120.00
Closest atoms and distances in Å follow each position.
Fractional positions:
Mg: 0.3333 0.6667 0.3536  8 Cd 2.84-3.03
Mg: 0.6667 0.3333 0.6464  8 Cd 2.84-3.03
Cd: 0.0000 0.0000 0.5000  6 Mg 2.88
Cd: 0.3333 0.6667 0.8662  5 Mg 2.84-3.03, 3 Cd 3.16
Cd: 0.6667 0.3333 0.1338  5 Mg 2.84-3.03, 3 Cd 3.16